NdTl2GaBr6 | PBE | optimized geometry

Energy relative to the elements, uncorrected (meV per atom): -1210

Structure (CIF):
```
data_NdTl2GaBr6
_chemical_formula_sum 'Nd3 Tl6 Ga3 Br18'
_cell_length_a 8.1044
_cell_length_b 8.1044
_cell_length_c 20.7113
_cell_angle_alpha 90.00
_cell_angle_beta 90.00
_cell_angle_gamma 120.00
_space_group_name_H-M_alt 'R 3'
_space_group_IT_number 146
_space_group_name_Hall 'R 3'
loop_
_atom_site_label
_atom_site_type_symbol
_atom_site_fract_x
_atom_site_fract_y
_atom_site_fract_z
Nd1 Nd 0.0000 0.0000 0.0000
Tl1 Tl 0.0000 0.0000 0.2973
Tl2 Tl 0.0000 0.0000 0.7910
Ga1 Ga 0.0000 0.0000 0.5065
Br1 Br 0.0038 0.4018 0.7408
Br2 Br 0.0743 0.7102 0.5784
```

***

Ba9Sr4Ca2 | PBE | optimized geometry

Energy (eV per cell): -27.8

Structure (CIF):
```
data_Ba9Sr4Ca2
_chemical_formula_sum 'Ba9 Sr4 Ca2'
_cell_length_a 6.8868
_cell_length_b 6.8868
_cell_length_c 20.9970
_cell_angle_alpha 90.00
_cell_angle_beta 90.00
_cell_angle_gamma 120.00
_space_group_name_H-M_alt 'P -3 m 1'
_space_group_IT_number 164
_space_group_name_Hall '-P 3 2"'
loop_
_atom_site_label
_atom_site_type_symbol
_atom_site_fract_x
_atom_site_fract_y
_atom_site_fract_z
Ba1 Ba 0.0000 0.0000 0.0000
Ba2 Ba 0.0000 0.0000 0.2030
Ba3 Ba 0.0000 0.0000 0.3990
Ba4 Ba 0.3333 0.6667 0.0702
Ba5 Ba 0.3333 0.6667 0.4638
Sr1 Sr 0.3333 0.6667 0.6701
Sr2 Sr 0.3333 0.6667 0.8660
Ca1 Ca 0.3333 0.6667 0.2683
```

***

Y2Tl2Cd3 | PBE | optimized geometry

Energy (eV per cell): -43.0

Structure (CIF):
```
data_Y2Tl2Cd3
_chemical_formula_sum 'Y4 Tl4 Cd6'
_cell_length_a 4.673
_cell_length_b 22.424
_cell_length_c 3.489
_cell_angle_alpha 90.00
_cell_angle_beta 90.00
_cell_angle_gamma 90.00
_space_group_name_H-M_alt 'C m m m'
_space_group_IT_number 65
_space_group_name_Hall '-C 2 2'
loop_
_atom_site_label
_atom_site_type_symbol
_atom_site_fract_x
_atom_site_fract_y
_atom_site_fract_z
Y1 Y 0.000 0.149 0.000
Tl1 Tl 0.000 0.292 0.500
Cd1 Cd 0.000 0.000 0.000
Cd2 Cd 0.000 0.433 0.500
```

***

RbCdHgTe2 | PBE | optimized geometry

Energy relative to the elements, uncorrected (meV per atom): -434

Structure (CIF):
```
data_RbCdHgTe2
_chemical_formula_sum 'Rb4 Cd4 Hg4 Te8'
_cell_length_a 6.521
_cell_length_b 15.123
_cell_length_c 8.062
_cell_angle_alpha 90.00
_cell_angle_beta 90.00
_cell_angle_gamma 90.00
_space_group_name_H-M_alt 'C m m e'
_space_group_IT_number 67
_space_group_name_Hall '-C 2a 2'
loop_
_atom_site_label
_atom_site_type_symbol
_atom_site_fract_x
_atom_site_fract_y
_atom_site_fract_z
Rb1 Rb 0.000 0.250 0.221
Cd1 Cd 0.250 0.000 0.000
Hg1 Hg 0.000 0.000 0.500
Te1 Te 0.000 0.120 0.801
```

***

SrInHg2S | PBE | optimized geometry

Energy relative to the elements, uncorrected (meV per atom): -18

Structure (CIF):
```
data_SrInHg2S
_chemical_formula_sum 'Sr1 In1 Hg2 S1'
_cell_length_a 5.274
_cell_length_b 5.274
_cell_length_c 6.654
_cell_angle_alpha 90.00
_cell_angle_beta 90.00
_cell_angle_gamma 90.00
_space_group_name_H-M_alt 'P 4/m m m'
_space_group_IT_number 123
_space_group_name_Hall '-P 4 2'
loop_
_atom_site_label
_atom_site_type_symbol
_atom_site_fract_x
_atom_site_fract_y
_atom_site_fract_z
Sr1 Sr 0.000 0.000 0.000
In1 In 0.000 0.000 0.500
Hg1 Hg 0.000 0.500 0.500
S1 S 0.500 0.500 0.000
```

***

Mg2ZnAu3 | PBE | optimized geometry

Polymorph energy (0 for the lowest one) (eV per formula unit): 0.73

Structure (CIF):
```
data_Mg2ZnAu3
_chemical_formula_sum 'Mg8 Zn4 Au12'
_cell_length_a 12.460
_cell_length_b 5.576
_cell_length_c 6.781
_cell_angle_alpha 90.00
_cell_angle_beta 105.75
_cell_angle_gamma 90.00
_space_group_name_H-M_alt 'C 1 2/c 1'
_space_group_IT_number 15
loop_
_space_group_symop_operation_xyz
'x,y,z'
'-x,-y,-z'
'-x,y,-z+1/2'
'x,-y,z+1/2'
'x+1/2,y+1/2,z'
'-x+1/2,-y+1/2,-z'
'-x+1/2,y+1/2,-z+1/2'
'x+1/2,-y+1/2,z+1/2'
loop_
_atom_site_label
_atom_site_type_symbol
_atom_site_fract_x
_atom_site_fract_y
_atom_site_fract_z
Mg1 Mg 0.178 0.003 0.089
Zn1 Zn 0.000 0.279 0.250
Au1 Au 0.000 0.181 0.750
Au2 Au 0.140 0.498 0.570
```